Material: Zr2ScAl
Method: DFT, PBE
State: relaxed

Summary:
The calculated total energy is -7.05 eV per atom. Its size of the total moment is 0.020 Bohr magnetons per cell.

Cell lengths 6.211, 6.211, 5.064 Å; angles 90.00, 90.00, 120.15 degrees
Atoms (fractional coordinates):
1 Zr 0.156 0.328 0.250
2 Zr 0.328 0.156 0.750
3 Zr 0.672 0.844 0.250
4 Zr 0.844 0.672 0.750
5 Sc 0.329 0.671 0.750
6 Sc 0.671 0.329 0.250
7 Al 0.167 0.833 0.250
8 Al 0.833 0.167 0.750


Material: Mg2Os
Method: DFT, PBE
State: relaxed

Summary:
The calculated total energy is -4.62 eV per atom. Its size of the total moment is 0.005 Bohr magnetons per cell.

Cell lengths 4.449, 9.919, 4.621 Å; angles 90.00, 90.00, 90.00 degrees
Atoms (fractional coordinates):
1 Mg 0.250 0.080 0.003
2 Mg 0.250 0.250 0.502
3 Mg 0.250 0.420 0.003
4 Mg 0.250 0.750 0.003
5 Mg 0.750 0.250 0.997
6 Mg 0.750 0.580 0.997
7 Mg 0.750 0.750 0.498
8 Mg 0.750 0.920 0.997
9 Os 0.250 0.558 0.503
10 Os 0.250 0.942 0.503
11 Os 0.750 0.058 0.497
12 Os 0.750 0.442 0.497


Material: Zr6Co16Si7
Method: DFT, PBE
State: relaxed

Summary:
The calculated total energy is -7.66 eV per atom. Its size of the total moment is 0.152 Bohr magnetons per cell.

Cell lengths 8.042, 8.042, 8.042 Å; angles 60.00, 60.00, 60.00 degrees
Atoms (fractional coordinates):
1 Zr 0.206 0.206 0.794
2 Zr 0.206 0.794 0.206
3 Zr 0.206 0.794 0.794
4 Zr 0.794 0.206 0.206
5 Zr 0.794 0.206 0.794
6 Zr 0.794 0.794 0.206
7 Co 0.139 0.620 0.620
8 Co 0.171 0.171 0.171
9 Co 0.171 0.171 0.487
10 Co 0.171 0.487 0.171
11 Co 0.380 0.380 0.380
12 Co 0.380 0.380 0.861
13 Co 0.380 0.861 0.380
14 Co 0.487 0.171 0.171
15 Co 0.513 0.829 0.829
16 Co 0.620 0.139 0.620
17 Co 0.620 0.620 0.139
18 Co 0.620 0.620 0.620
19 Co 0.829 0.513 0.829
20 Co 0.829 0.829 0.513
21 Co 0.829 0.829 0.829
22 Co 0.861 0.380 0.380
23 Si 0.000 0.000 0.500
24 Si 0.000 0.500 0.000
25 Si 0.000 0.500 0.500
26 Si 0.500 0.000 0.000
27 Si 0.500 0.000 0.500
28 Si 0.500 0.500 0.000
29 Si 0.500 0.500 0.500


Material: NbB2Ir
Method: DFT, PBE
State: relaxed

Summary:
The calculated total energy is -7.24 eV per atom. Its size of the total moment is 0.001 Bohr magnetons per cell.

Cell lengths 4.140, 4.140, 4.140 Å; angles 60.00, 60.00, 60.00 degrees
Atoms (fractional coordinates):
1 Nb 0.000 0.000 0.000
2 B 0.500 0.500 0.500
3 B 0.750 0.750 0.750
4 Ir 0.250 0.250 0.250


Material: CuAg4
Method: DFT, PBE
State: relaxed

Summary:
The calculated total energy is -2.95 eV per atom. The polymorph energy (0 for the lowest one) is 25 meV/atom. The formation enthalpy at 0 K is 0.049 eV per atom.

Cell lengths 7.634, 7.634, 7.964 Å; angles 105.08, 105.08, 21.83 degrees
Atoms (fractional coordinates):
1 Cu 0.101 0.101 0.051
2 Cu 0.899 0.899 0.949
3 Ag 0.098 0.098 0.547
4 Ag 0.301 0.301 0.661
5 Ag 0.305 0.305 0.143
6 Ag 0.499 0.499 0.773
7 Ag 0.501 0.501 0.227
8 Ag 0.695 0.695 0.857
9 Ag 0.699 0.699 0.339
10 Ag 0.902 0.902 0.453


Material: ErAsN2O
Method: DFT, PBE
State: relaxed

Summary:
The calculated total energy is -7.10 eV per atom. Its size of the total moment is 0.008 Bohr magnetons per cell.

Cell lengths 7.217, 5.725, 5.578 Å; angles 90.00, 90.00, 90.00 degrees
Atoms (fractional coordinates):
1 Er 0.000 0.181 0.000
2 Er 0.000 0.819 0.500
3 Er 0.500 0.194 0.898
4 Er 0.500 0.806 0.398
5 As 0.247 0.335 0.441
6 As 0.247 0.665 0.941
7 As 0.753 0.335 0.441
8 As 0.753 0.665 0.941
9 N 0.000 0.195 0.415
10 N 0.000 0.805 0.915
11 N 0.207 0.394 0.779
12 N 0.207 0.606 0.279
13 N 0.500 0.366 0.533
14 N 0.500 0.634 0.033
15 N 0.793 0.394 0.779
16 N 0.793 0.606 0.279
17 O 0.299 0.103 0.205
18 O 0.299 0.897 0.705
19 O 0.701 0.103 0.205
20 O 0.701 0.897 0.705


- calculated total energy of number 2 (Mg2Os)?
  -4.62 eV per atom